This record from OQMD describes a geometry-optimized Li2ScSi2NiPt2 structure. The functional is PBE.

Computed properties:
- total energy (eV per cell) = -44.22
- crystal system = tetragonal

Lattice parameters (Å, degrees): 4.1011 4.1011 6.4064 90.00 90.00 90.00
Sites, in units of the cell vectors:
Li 0.0000 0.5000 0.2266
Li 0.5000 0.0000 0.7734
Sc 0.0000 0.0000 0.5000
Si 0.0000 0.5000 0.7875
Si 0.5000 0.0000 0.2125
Ni 0.5000 0.5000 0.0000
Pt 0.0000 0.0000 0.0000
Pt 0.5000 0.5000 0.5000



This record from OQMD describes a geometry-optimized TbCuAsP structure. The functional is PBE.

Computed properties:
- ΔE to the lowest computed polymorph (meV per atom) = 93
- crystal system = tetragonal

Lattice parameters (Å, degrees): 3.8258 3.8258 9.8702 90.00 90.00 90.00
Sites, in units of the cell vectors:
Tb 0.2500 0.2500 0.2251
Tb 0.7500 0.7500 0.7749
Cu 0.2500 0.7500 0.5000
Cu 0.7500 0.2500 0.5000
As 0.2500 0.2500 0.6619
As 0.7500 0.7500 0.3381
P 0.2500 0.7500 0.0000
P 0.7500 0.2500 0.0000